[1]
## TbNd2Tl3S6 (GGA-PBE)

Data for a relaxed structure of TbNd2Tl3S6.

raw formation energy: -17.57 eV/f.u.
volume: 27.842 Å³/atom
magnetic moment: 0.00 μB/cell

Cell and atoms, written as POSCAR:
```
TbNd2Tl3S6
1.0
3.5857 -6.2091 0.0000
3.5857 6.2091 0.0000
-2.3886 0.0000 7.5032
Tb Nd Tl S
1 2 3 6
direct
0.0000 0.0000 0.0000
0.3333 0.6667 0.0000
0.6667 0.3333 0.0000
0.1673 0.8327 0.5000
0.5000 0.5000 0.5000
0.8327 0.1673 0.5000
0.0673 0.3930 0.2018
0.2580 0.2580 0.7964
0.3930 0.0673 0.2018
0.6070 0.9327 0.7982
0.7420 0.7420 0.2036
0.9327 0.6070 0.7982
```

---

[2]
## TbNdTl2S4 (GGA-PBE)

Data for a relaxed structure of TbNdTl2S4.

raw formation energy: -11.75 eV/f.u.
volume: 27.559 Å³/atom
magnetic moment: 0.00 μB/cell

Cell and atoms, written as POSCAR:
```
TbNdTl2S4
1.0
7.1336 0.0000 0.0000
0.0000 4.1166 0.0000
-2.3744 0.0000 7.5079
Tb Nd Tl S
1 1 2 4
direct
0.0000 0.0000 0.0000
0.5000 0.5000 0.0000
0.0000 0.5000 0.5000
0.5000 0.0000 0.5000
0.2266 0.5000 0.2000
0.2588 0.0000 0.7971
0.7412 0.0000 0.2029
0.7734 0.5000 0.8000
```

---

[3]
## TbNd2TmS5 (GGA-PBE)

Data for a relaxed structure of TbNd2TmS5.

raw formation energy: -13.43 eV/f.u.
volume: 26.591 Å³/atom
magnetic moment: 0.00 μB/cell

Cell and atoms, written as POSCAR:
```
TbNd2TmS5
1.0
4.8280 0.0000 0.0000
0.0000 4.8280 0.0000
0.0000 0.0000 10.2669
Tb Nd Tm S
1 2 1 5
direct
0.0000 0.0000 0.0000
0.5000 0.5000 0.2956
0.5000 0.5000 0.7044
0.0000 0.0000 0.5000
0.0000 0.0000 0.2467
0.0000 0.0000 0.7533
0.0000 0.5000 0.5000
0.5000 0.0000 0.5000
0.5000 0.5000 0.0000
```

---

[4]
## Tb4NdTmS8 (GGA-PBE)

Data for a relaxed structure of Tb4NdTmS8.

raw formation energy: -26.99 eV/f.u.
volume: 26.871 Å³/atom
magnetic moment: 0.00 μB/cell

Cell and atoms, written as POSCAR:
```
Tb4NdTmS8
1.0
4.0587 2.3433 6.5924
-4.0587 2.3433 6.5924
0.0000 -4.6866 6.5924
Tb Nd Tm S
4 1 1 8
direct
0.0000 0.0000 0.0000
0.3751 0.3751 0.8775
0.3751 0.8775 0.3751
0.8775 0.3751 0.3751
0.7517 0.7517 0.7517
0.3753 0.3753 0.3753
0.1323 0.1323 0.1323
0.1367 0.1367 0.6020
0.1367 0.6020 0.1367
0.1597 0.6116 0.6116
0.6020 0.1367 0.1367
0.6116 0.1597 0.6116
0.6116 0.6116 0.1597
0.6158 0.6158 0.6158
```

---

Sequential energy output: -5.300 -5.298 -5.857 -6.269 eV per atom